## LiMoF5 (GGA+U)

Data for crystalline LiMoF5 at its relaxed geometry.

The structure in extended XYZ format:
```
14
Lattice="4.241 -3.609 0.000 4.241 3.609 0.000 -3.916 0.000 6.982" Properties=species:S:1:pos:R:3 pbc="T T T"
Li 1.304 3.093 5.237
Li 3.262 -3.093 1.746
Mo 4.241 0.000 0.000
Mo 2.283 0.000 3.491
F -1.356 0.202 5.984
F 1.864 1.886 3.853
F 0.602 -0.202 2.493
F 0.744 1.886 6.620
F 3.262 0.594 1.746
F 1.304 -0.594 5.237
F 3.822 -1.886 0.362
F 3.964 0.202 4.489
F 2.702 -1.886 3.129
F 5.922 -0.202 0.998
```

Output
For the volume, the calculation gives 213.7 Å³/cell. For the total energy, the calculation gives -5.30 eV/atom. The total magnetization comes out at 2.0 μB per formula unit. The calculated density is 3074 kg/m³. Its space group is C2/c, No. 15.